Entry from Alexandria via LeMat-Bulk: a relaxed structure of Sm2RuC2 (PBE-GGA).

The structure in CIF format:
```
data_Sm2RuC2
_chemical_formula_sum 'Sm8 Ru4 C8'
_symmetry_space_group_name_H-M 'P 1'
_symmetry_Int_Tables_number 1
_cell_length_a 5.283
_cell_length_b 6.523
_cell_length_c 10.012
_cell_angle_alpha 90.00
_cell_angle_beta 90.00
_cell_angle_gamma 90.00
loop_
_symmetry_equiv_pos_as_xyz
'x,y,z'
loop_
_atom_site_label
_atom_site_type_symbol
_atom_site_fract_x
_atom_site_fract_y
_atom_site_fract_z
_atom_site_occupancy
Sm1 Sm 0.250 0.313 0.449 1
Sm2 Sm 0.750 0.187 0.949 1
Ru1 Ru 0.250 0.273 0.139 1
Ru2 Ru 0.750 0.227 0.639 1
Sm3 Sm 0.750 0.521 0.217 1
Sm4 Sm 0.250 0.813 0.051 1
Sm5 Sm 0.250 0.479 0.783 1
C1 C 0.250 0.181 0.954 1
C2 C 0.250 0.535 0.244 1
C3 C 0.750 0.819 0.046 1
C4 C 0.750 0.319 0.454 1
Ru3 Ru 0.250 0.773 0.361 1
C5 C 0.250 0.681 0.546 1
Ru4 Ru 0.750 0.727 0.861 1
C6 C 0.250 0.035 0.256 1
Sm6 Sm 0.750 0.021 0.283 1
C7 C 0.750 0.965 0.744 1
C8 C 0.750 0.465 0.756 1
Sm7 Sm 0.750 0.687 0.551 1
Sm8 Sm 0.250 0.979 0.717 1
```

DOS at the Fermi energy = 0.58 states/eV per atom
total moment = 0.000 μB/f.u.
calculated volume = 17.25 Å³/atom
E_form = -0.24 eV/atom
SG = No. 62